Entry from Alexandria via LeMat-Bulk: a relaxed Hf2VRuO crystal (PBE+U).

Lattice parameters (Å, degrees): 5.182 5.182 3.720 90.00 90.00 90.00
Space group P4/mmm (No. 123)
Asymmetric unit:
Hf (0.000, 0.500, 0.000) (multiplicity 2)
V (0.000, 0.000, 0.500) (multiplicity 1)
Ru (0.500, 0.500, 0.000) (multiplicity 1)
O (0.500, 0.500, 0.500) (multiplicity 1)

- DFT total energy (eV per cell) = -39.21